Na2GaHgAu | PBE | relaxed Values from VASP.

Calculated values
**E above lowest polymorph**: 0.00 eV per formula unit
**Formation energy from the elements**: -0.100 eV/atom
**VASP energy**: -1.95 eV per atom
**Density**: 5.6 Mg/m³
**Space group**: No. 123

Structure (Quantum ESPRESSO input):
```
&SYSTEM
  ibrav = 0, nat = 5, ntyp = 4
/
ATOMIC_SPECIES
Na 22.99 Na.upf
Ga 69.72 Ga.upf
Hg 200.59 Hg.upf
Au 196.97 Au.upf
CELL_PARAMETERS angstrom
5.630 0.000 0.000
0.000 5.630 0.000
0.000 0.000 4.839
ATOMIC_POSITIONS crystal
Na 0.000 0.500 0.000
Na 0.500 0.000 0.000
Ga 0.000 0.000 0.500
Hg 0.500 0.500 0.500
Au 0.000 0.000 0.000
```